# 1
# VCuSi2 | the Alexandria database | PBE-GGA | relaxed
# Uncorrected formation energy (eV/f.u.): 2.6
# E_tot (eV/atom): -5.356
data_VCuSi2
_chemical_formula_sum 'V1 Cu1 Si2'
_space_group_name_H-M_alt 'P 1'
_space_group_IT_number 1
_cell_length_a 6.0863
_cell_length_b 6.0863
_cell_length_c 6.0863
_cell_angle_alpha 40.16
_cell_angle_beta 40.16
_cell_angle_gamma 40.16
loop_
_space_group_symop_operation_xyz
'x,y,z'
loop_
_atom_site_label
_atom_site_fract_x
_atom_site_fract_y
_atom_site_fract_z
_atom_site_occupancy
V1 0.0000 0.0000 0.0000 1
Cu1 0.5000 0.5000 0.5000 1
Si1 0.3653 0.3653 0.3653 1
Si2 0.6347 0.6347 0.6347 1

=====

# 2
# NbAl3Cl | the Alexandria database | PBE-GGA | relaxed
# Uncorrected formation energy (eV/f.u.): 3.8
# E_tot (eV/atom): -3.867
# Energy above the lowest structure with this stoichiometry (meV/atom): 5
data_NbAl3Cl
_chemical_formula_sum 'Nb1 Al3 Cl1'
_space_group_name_H-M_alt 'P 1'
_space_group_IT_number 1
_cell_length_a 5.2373
_cell_length_b 5.2373
_cell_length_c 5.2373
_cell_angle_alpha 90.00
_cell_angle_beta 90.00
_cell_angle_gamma 90.00
loop_
_space_group_symop_operation_xyz
'x,y,z'
loop_
_atom_site_label
_atom_site_fract_x
_atom_site_fract_y
_atom_site_fract_z
_atom_site_occupancy
Nb1 0.0000 0.0000 0.0000 1
Al1 0.0000 0.0000 0.5000 1
Al2 0.0000 0.5000 0.0000 1
Al3 0.5000 0.0000 0.0000 1
Cl1 0.5000 0.5000 0.5000 1

=====

# 3
# LiSiCl4 | the Alexandria database | PBE-GGA | relaxed
# Uncorrected formation energy (eV/f.u.): -6.4
# E_tot (eV/atom): -3.515
# Energy above the lowest structure with this stoichiometry (meV/atom): 0
data_LiSiCl4
_chemical_formula_sum 'Li2 Si2 Cl8'
_space_group_name_H-M_alt 'P 1'
_space_group_IT_number 1
_cell_length_a 9.3702
_cell_length_b 9.3702
_cell_length_c 6.1571
_cell_angle_alpha 104.96
_cell_angle_beta 104.96
_cell_angle_gamma 130.82
loop_
_space_group_symop_operation_xyz
'x,y,z'
loop_
_atom_site_label
_atom_site_fract_x
_atom_site_fract_y
_atom_site_fract_z
_atom_site_occupancy
Li1 0.1980 0.8020 0.7500 1
Li2 0.8020 0.1980 0.2500 1
Si1 0.3375 0.6625 0.2500 1
Si2 0.6625 0.3375 0.7500 1
Cl1 0.0899 0.4825 0.7756 1
Cl2 0.1874 0.3619 0.2264 1
Cl3 0.3619 0.1874 0.7264 1
Cl4 0.4825 0.0899 0.2756 1
Cl5 0.5175 0.9101 0.7244 1
Cl6 0.6381 0.8126 0.2736 1
Cl7 0.8126 0.6381 0.7736 1
Cl8 0.9101 0.5175 0.2244 1

=====

# 4
# Zr2Be9Tc | the Alexandria database | PBE-GGA | relaxed
# Calculated formation energy (kJ/mol of formula units): -163
# E_tot (eV/atom): -5.224
data_Zr2Be9Tc
_chemical_formula_sum 'Zr2 Be9 Tc1'
_space_group_name_H-M_alt 'P 1'
_space_group_IT_number 1
_cell_length_a 7.7204
_cell_length_b 7.7204
_cell_length_c 7.7204
_cell_angle_alpha 34.26
_cell_angle_beta 34.26
_cell_angle_gamma 34.26
loop_
_space_group_symop_operation_xyz
'x,y,z'
loop_
_atom_site_label
_atom_site_fract_x
_atom_site_fract_y
_atom_site_fract_z
_atom_site_occupancy
Zr1 0.1393 0.1393 0.1393 1
Zr2 0.8607 0.8607 0.8607 1
Be1 0.0748 0.5765 0.5765 1
Be2 0.3338 0.3338 0.3338 1
Be3 0.4235 0.4235 0.9252 1
Be4 0.4235 0.9252 0.4235 1
Be5 0.5000 0.5000 0.5000 1
Be6 0.5765 0.0748 0.5765 1
Be7 0.5765 0.5765 0.0748 1
Be8 0.6662 0.6662 0.6662 1
Be9 0.9252 0.4235 0.4235 1
Tc1 0.0000 0.0000 0.0000 1

=====

Question: Among the records above, which one has the highest E_tot?
Answer: LiSiCl4

=====

Question: What is the E_tot in the second record?
Answer: -3.867 eV/atom

=====

Question: Among the records above, which one has the lowest E_tot?
Answer: VCuSi2